Entry from the Alexandria database: crystalline KPrI4 at its relaxed geometry (GGA-PBE).

Cell lengths 10.922, 17.702, 7.851 Å; angles 90.00, 127.08, 90.00 degrees
Space group C2/c (No. 15)
Symmetry-distinct sites (fractional):
K  0.000  0.156  0.250 (multiplicity 4)
Pr  0.000  0.419  0.750 (multiplicity 4)
I  0.161  0.296  0.677 (multiplicity 8)
I  0.225  0.459  0.245 (multiplicity 8)

Output
Raw formation energy in eV per atom: -1.4188
N(E_F) in states/eV/f.u.: 0.0
Crystal system: monoclinic
Density in g/cm³: 3.771
Size of the total moment in μB per formula unit: 0.0
Electronic total energy in eV per atom: -3.432

---

Entry from the Alexandria database: crystalline NaZnGa2Ru at its relaxed geometry (GGA-PBE).

Cell lengths 4.780, 4.780, 4.906 Å; angles 90.00, 90.00, 90.00 degrees
Space group P4/mmm (No. 123)
Symmetry-distinct sites (fractional):
Na  0.000  0.000  0.000 (multiplicity 1)
Zn  0.500  0.500  0.000 (multiplicity 1)
Ga  0.000  0.500  0.500 (multiplicity 2)
Ru  0.500  0.500  0.500 (multiplicity 1)

Output
N(E_F) in states/eV/f.u.: 1.7
Crystal system: tetragonal
Density in g/cm³: 4.872
Size of the total moment in μB per formula unit: 0.0
Electronic total energy in eV per atom: -3.719

---

Entry from the Alexandria database: crystalline NpSc3Co8 at its relaxed geometry (GGA-PBE).

Cell lengths 4.9066, 4.9066, 23.9775 Å; angles 90.00, 90.00, 120.00 degrees
Space group R3m (No. 160, hexagonal axes)
Symmetry-distinct sites (fractional):
Np  0.0000  0.0000  0.0000 (multiplicity 3)
Sc  0.0000  0.0000  0.1265 (multiplicity 3)
Sc  0.0000  0.0000  0.4993 (multiplicity 3)
Sc  0.0000  0.0000  0.6234 (multiplicity 3)
Co  0.0000  0.0000  0.3122 (multiplicity 3)
Co  0.0000  0.0000  0.8125 (multiplicity 3)
Co  0.9999  0.5000  0.0629 (multiplicity 9)
Co  0.1671  0.3343  0.8952 (multiplicity 9)

Output
N(E_F) in states/eV/f.u.: 15.9
Crystal system: trigonal
Density in g/cm³: 8.405
Size of the total moment in μB per formula unit: 3.5
Electronic total energy in eV per atom: -7.666